Density functional theory data (PBE) for an optimized crystal structure of La11Cd9Ni4.

Results
DFT formation energy   -0.37 eV per atom

a = 3.789 Å, b = 13.614 Å, c = 13.614 Å
α = 112.38°, β = 90.00°, γ = 90.00°
Each line ends with the local moment (μB).
Fractional coordinates of all 24 atoms:
Ni1 0.500 0.450 0.248  0.00
La1 0.000 0.688 0.688  0.00
Ni2 0.500 0.550 0.752  0.00
Cd1 0.500 0.364 0.838  0.00
La2 0.000 0.919 0.582  0.01
Cd2 0.500 0.162 0.636  0.00
Ni3 0.500 0.752 0.550  0.00
La3 0.000 0.160 0.840  0.10
La4 0.000 0.081 0.418  0.01
Cd3 0.500 0.219 0.080  0.00
La5 0.000 0.374 0.626  0.00
Cd4 0.500 0.636 0.162  0.00
La6 0.000 0.626 0.374  0.00
Cd5 0.500 0.781 0.920  0.00
Cd6 0.500 0.080 0.219  0.00
La7 0.000 0.418 0.081  0.01
La8 0.000 0.000 0.000  0.07
La9 0.000 0.312 0.312  0.00
Cd7 0.500 0.920 0.781  0.00
Cd8 0.500 0.838 0.364  0.00
La10 0.000 0.840 0.160  0.10
Ni4 0.500 0.248 0.450  0.00
Cd9 0.500 0.500 0.500  0.00
La11 0.000 0.582 0.919  0.01